SrHg3 | the Alexandria database | PBE | relaxed; formation enthalpy at 0 K = -0.400 eV per atom; space group = Immm, No. 71
1.0
-3.622 -0.238 3.051
2.068 -4.149 2.132
3.115 4.893 0.395
Sr Hg
1 3
Direct
0.000 0.917 0.000
0.243 0.660 0.486
0.500 0.417 0.000
0.757 0.174 0.514